No. 1
Computed, not measured: a relaxed SrNi3Pd crystal at the GGA-PBE level of DFT.

Its energy of formation from the pure elements is 0.54 eV per atom. As for the polymorph energy (0 for the lowest one): 0 meV per atom. The calculation puts the raw total energy at -4.30 eV/atom.

It has space group Pm-3m (No. 221), with a = 4.692 Å, b = 4.692 Å, c = 4.692 Å, α = 90.00°, β = 90.00° and γ = 90.00°. The distinct sites, in fractional coordinates, are Sr at (0.000, 0.000, 0.000), Ni at (0.000, 0.500, 0.500) and Pd at (0.500, 0.500, 0.500).

No. 2
Computed, not measured: a relaxed Sr2Ni2Pd crystal at the GGA-PBE level of DFT.

Its energy of formation from the pure elements is -0.08 eV per atom. As for the polymorph energy (0 for the lowest one): 0 meV per atom. The calculation puts the raw total energy at -4.11 eV/atom.

It has space group P4/mbm (No. 127), with a = 7.008 Å, b = 7.008 Å, c = 4.420 Å, α = 90.00°, β = 90.00° and γ = 90.00°. The distinct sites, in fractional coordinates, are Sr at (0.184, 0.316, 0.000), Ni at (0.118, 0.618, 0.500) and Pd at (0.000, 0.000, 0.500).

No. 3
Computed, not measured: a relaxed Sr2NiPd3 crystal at the GGA-PBE level of DFT.

Its energy of formation from the pure elements is -0.11 eV per atom. The calculation puts the raw total energy at -4.23 eV/atom.

It has space group Immm (No. 71), with a = 4.409 Å, b = 5.587 Å, c = 11.342 Å, α = 90.00°, β = 90.00° and γ = 90.00°. The distinct sites, in fractional coordinates, are Sr at (0.000, 0.000, 0.183), Ni at (0.000, 0.000, 0.500), Pd at (0.000, 0.500, 0.115) and Pd at (0.000, 0.500, 0.500).

No. 4
Computed, not measured: a relaxed SrNiPd2 crystal at the GGA-PBE level of DFT.

Its energy of formation from the pure elements is -0.02 eV per atom. The calculation puts the raw total energy at -4.48 eV/atom.

It has space group Fm-3m (No. 225), with a = 6.667 Å, b = 6.667 Å, c = 6.667 Å, α = 90.00°, β = 90.00° and γ = 90.00°. The distinct sites, in fractional coordinates, are Sr at (0.000, 0.000, 0.000), Ni at (0.000, 0.000, 0.500) and Pd at (0.250, 0.250, 0.250).

No. 5
Computed, not measured: a relaxed Sr2NiPd crystal at the GGA-PBE level of DFT.

Its energy of formation from the pure elements is -0.17 eV per atom. As for the polymorph energy (0 for the lowest one): 131 meV per atom. The calculation puts the raw total energy at -3.76 eV/atom.

It has space group Fm-3m (No. 225), with a = 7.390 Å, b = 7.390 Å, c = 7.390 Å, α = 90.00°, β = 90.00° and γ = 90.00°. The distinct sites, in fractional coordinates, are Sr at (0.250, 0.250, 0.250), Ni at (0.000, 0.000, 0.000) and Pd at (0.000, 0.000, 0.500).

No. 6
Computed, not measured: a relaxed SrNi3Pd crystal at the GGA-PBE level of DFT.

Its energy of formation from the pure elements is 1.77 eV per atom. As for the polymorph energy (0 for the lowest one): 1231 meV per atom. The calculation puts the raw total energy at -3.07 eV/atom.

It has space group Pm-3m (No. 221), with a = 4.623 Å, b = 4.623 Å, c = 4.623 Å, α = 90.00°, β = 90.00° and γ = 90.00°. The distinct sites, in fractional coordinates, are Sr at (0.000, 0.000, 0.000), Ni at (0.000, 0.000, 0.500) and Pd at (0.500, 0.500, 0.500).

No. 7
Computed, not measured: a relaxed SrNiPd2 crystal at the GGA-PBE level of DFT.

Its energy of formation from the pure elements is 0.00 eV per atom. The calculation puts the raw total energy at -4.46 eV/atom.

It has space group I-42d (No. 122), with a = 4.866 Å, b = 4.866 Å, c = 16.661 Å, α = 90.00°, β = 90.00° and γ = 90.00°. The distinct sites, in fractional coordinates, are Sr at (0.000, 0.000, 0.000), Ni at (0.000, 0.000, 0.500) and Pd at (0.071, 0.250, 0.625).

No. 8
Computed, not measured: a relaxed Sr2Ni2Pd crystal at the GGA-PBE level of DFT.

Its energy of formation from the pure elements is -0.03 eV per atom. As for the polymorph energy (0 for the lowest one): 51 meV per atom. The calculation puts the raw total energy at -4.05 eV/atom.

It has space group I4/mmm (No. 139), with a = 3.530 Å, b = 3.530 Å, c = 17.840 Å, α = 90.00°, β = 90.00° and γ = 90.00°. The distinct sites, in fractional coordinates, are Sr at (0.000, 0.000, 0.109), Ni at (0.000, 0.500, 0.250) and Pd at (0.000, 0.000, 0.500).

No. 9
Computed, not measured: a relaxed Sr3NiPd crystal at the GGA-PBE level of DFT.

Its energy of formation from the pure elements is 0.07 eV per atom. The calculation puts the raw total energy at -3.13 eV/atom.

It has space group Pm-3m (No. 221), with a = 5.568 Å, b = 5.568 Å, c = 5.568 Å, α = 90.00°, β = 90.00° and γ = 90.00°. The distinct sites, in fractional coordinates, are Sr at (0.000, 0.000, 0.500), Ni at (0.000, 0.000, 0.000) and Pd at (0.500, 0.500, 0.500).

No. 10
Computed, not measured: a relaxed Sr2ZrNiPd crystal at the GGA-PBE level of DFT.

Its energy of formation from the pure elements is 0.86 eV per atom. As for the polymorph energy (0 for the lowest one): 169 meV per atom. The calculation puts the raw total energy at -3.72 eV/atom.

It has space group P4/mmm (No. 123), with a = 6.121 Å, b = 6.121 Å, c = 4.471 Å, α = 90.00°, β = 90.00° and γ = 90.00°. The distinct sites, in fractional coordinates, are Sr at (0.000, 0.500, 0.000), Zr at (0.000, 0.000, 0.000), Ni at (0.000, 0.000, 0.500) and Pd at (0.500, 0.500, 0.500).

No. 11
Computed, not measured: a relaxed Sr2ZrNiPd crystal at the GGA-PBE level of DFT.

Its energy of formation from the pure elements is 0.69 eV per atom. As for the polymorph energy (0 for the lowest one): 0 meV per atom. The calculation puts the raw total energy at -3.89 eV/atom.

It has space group P4/mmm (No. 123), with a = 5.734 Å, b = 5.734 Å, c = 4.727 Å, α = 90.00°, β = 90.00° and γ = 90.00°. The distinct sites, in fractional coordinates, are Sr at (0.000, 0.500, 0.000), Zr at (0.000, 0.000, 0.500), Ni at (0.500, 0.500, 0.500) and Pd at (0.500, 0.500, 0.000).

No. 12
Computed, not measured: a relaxed TaNi3Pd2 crystal at the GGA-PBE level of DFT.

Its energy of formation from the pure elements is -0.26 eV per atom. As for the polymorph energy (0 for the lowest one): 0 meV per atom. The calculation puts the raw total energy at -6.86 eV/atom.

It has space group Cmmm (No. 65), with a = 3.841 Å, b = 11.388 Å, c = 3.694 Å, α = 90.00°, β = 90.00° and γ = 90.00°. The distinct sites, in fractional coordinates, are Ta at (0.000, 0.000, 0.000), Ni at (0.000, 0.163, 0.500), Ni at (0.000, 0.500, 0.500) and Pd at (0.000, 0.337, 0.000).

Which of these has the highest energy of formation from the pure elements?
number 6

Which of these has the highest raw total energy?
number 6

Look up the raw total energy of the eighth one.
-4.05 eV/atom

Among the records above, which one has the lowest energy of formation from the pure elements?
TaNi3Pd2